# 1
Here is a relaxed Sc3Ta crystal from Alexandria. Energies are from PBE.

Unit cell a=5.8710 b=5.8710 c=5.8710 alpha=117.12 beta=117.12 gamma=117.12
Closest atoms and distances in Å follow each position.
Atoms (fractional coordinates):
Sc: 0.0000 0.5000 0.5000  6 Sc 3.02-3.06, 2 Ta 3.06
Sc: 0.5000 0.0000 0.5000  6 Sc 3.02-3.06, 2 Ta 3.06
Sc: 0.5000 0.5000 0.0000  6 Sc 3.02-3.06, 2 Ta 3.06
Ta: 0.0000 0.0000 0.0000  2 Ta 3.02, 6 Sc 3.06

**D(E_F)**: 2.064 states/eV/atom
**Energy above the most stable polymorph in this dataset**: 54 kJ/mol of formula units
**Calculated density**: 6.0 g/cm3
**E_form**: 0.2501 eV/atom



# 2
Here is a relaxed NaTmMg crystal from Alexandria. Energies are from PBE.

Unit cell a=3.3794 b=3.3794 c=8.8281 alpha=90.00 beta=90.00 gamma=120.00
Closest atoms and distances in Å follow each position.
Atoms (fractional coordinates):
Na: 0.0000 0.0000 0.0000  6 Na 3.38, 3 Mg 3.52, 3 Tm 3.75
Tm: 0.3333 0.6667 0.6372  3 Mg 3.33, 6 Tm 3.38
Mg: 0.6667 0.3333 0.3316  3 Tm 3.33, 6 Mg 3.38, 3 Na 3.52

**D(E_F)**: 0.845 states/eV/atom
**Energy above the most stable polymorph in this dataset**: 9 kJ/mol of formula units
**Calculated density**: 4.1 g/cm3
**E_form**: 0.1466 eV/atom



# 3
Here is a relaxed TiAs2F2 crystal from Alexandria. Energies are from PBE.

Unit cell a=6.6855 b=6.6855 c=4.3488 alpha=90.00 beta=90.00 gamma=90.00
Closest atoms and distances in Å follow each position.
Atoms (fractional coordinates):
Ti: 0.0000 0.0000 0.0000  4 As 2.61
Ti: 0.5000 0.5000 0.0000  4 As 2.61
As: 0.1341 0.3659 0.0000  2 F 2.19
As: 0.3659 0.8659 0.0000  2 F 2.19
As: 0.6341 0.1341 0.0000  2 F 2.19
As: 0.8659 0.6341 0.0000  2 F 2.19
F: 0.1586 0.3414 0.5000  2 As 2.19
F: 0.3414 0.8414 0.5000  2 As 2.19
F: 0.6586 0.1586 0.5000  2 As 2.19
F: 0.8414 0.6586 0.5000  2 As 2.19

**D(E_F)**: 1.513 states/eV/atom
**Energy above the most stable polymorph in this dataset**: 0 kJ/mol of formula units
**Calculated density**: 4.0 g/cm3